Entry 1:
First-principles (PBE-GGA) data for ZnSi2Ge after structural relaxation, as listed in Alexandria via LeMat-Bulk.

a b c (Å): 4.553 4.553 4.553
angles (deg): 60.00 60.00 60.00
Element x y z (fractional)
Zn (0.000, 0.000, 0.000)
Si (0.250, 0.250, 0.250)
Si (0.750, 0.750, 0.750)
Ge (0.500, 0.500, 0.500)

Summary:
E_tot (eV/atom): -3.70
Size of the total moment (Bohr magnetons per cell): 0.00
SG: No. 225
Theoretical density (Mg/m³): 4.8
DOS(E_F) (states/eV per atom): 0.581
ΔE_f (raw) (kcal/mol of atoms): 11.1

=====

Entry 2:
First-principles (PBE-GGA) data for Zn2SiGe2 after structural relaxation, as listed in Alexandria via LeMat-Bulk.

a b c (Å): 7.674 7.674 2.996
angles (deg): 90.00 90.00 90.00
Element x y z (fractional)
Zn (0.119, 0.381, 0.000)
Zn (0.381, 0.881, 0.000)
Zn (0.619, 0.119, 0.000)
Zn (0.881, 0.619, 0.000)
Si (0.000, 0.000, 0.500)
Si (0.500, 0.500, 0.500)
Ge (0.184, 0.684, 0.500)
Ge (0.316, 0.184, 0.500)
Ge (0.684, 0.816, 0.500)
Ge (0.816, 0.316, 0.500)

Summary:
E_tot (eV/atom): -3.09
Size of the total moment (Bohr magnetons per cell): 0.00
SG: No. 127
Theoretical density (Mg/m³): 5.7
DOS(E_F) (states/eV per atom): 0.308
ΔE_f (raw) (kcal/mol of atoms): 8.0

=====

Entry 3:
First-principles (PBE-GGA) data for ZnSiGe2 after structural relaxation, as listed in Alexandria via LeMat-Bulk.

a b c (Å): 6.742 6.742 6.742
angles (deg): 128.55 128.55 75.73
Element x y z (fractional)
Zn (0.000, 0.000, 0.000)
Zn (0.750, 0.250, 0.500)
Si (0.250, 0.750, 0.500)
Si (0.500, 0.500, 0.000)
Ge (0.137, 0.625, 0.012)
Ge (0.375, 0.387, 0.512)
Ge (0.613, 0.125, 0.988)
Ge (0.875, 0.863, 0.488)

Summary:
E_tot (eV/atom): -3.73
Size of the total moment (Bohr magnetons per cell): 0.00
SG: No. 122
Theoretical density (Mg/m³): 4.4
DOS(E_F) (states/eV per atom): 0.371
ΔE_f (raw) (kcal/mol of atoms): 5.8

=====

Entry 4:
First-principles (PBE-GGA) data for ZnSi2Ge after structural relaxation, as listed in Alexandria via LeMat-Bulk.

a b c (Å): 6.680 6.680 6.680
angles (deg): 129.03 129.03 74.97
Element x y z (fractional)
Zn (0.000, 0.000, 0.000)
Zn (0.750, 0.250, 0.500)
Si (0.127, 0.625, 0.002)
Si (0.375, 0.377, 0.502)
Si (0.623, 0.125, 0.998)
Si (0.875, 0.873, 0.498)
Ge (0.250, 0.750, 0.500)
Ge (0.500, 0.500, 0.000)

Summary:
E_tot (eV/atom): -3.83
Size of the total moment (Bohr magnetons per cell): 0.00
SG: No. 122
Theoretical density (Mg/m³): 3.7
DOS(E_F) (states/eV per atom): 0.414
ΔE_f (raw) (kcal/mol of atoms): 8.2

=====

Entry 5:
First-principles (PBE-GGA) data for Zn2SiGe2 after structural relaxation, as listed in Alexandria via LeMat-Bulk.

a b c (Å): 6.247 6.247 6.247
angles (deg): 141.53 141.53 55.53
Element x y z (fractional)
Zn (0.250, 0.750, 0.500)
Zn (0.750, 0.250, 0.500)
Si (0.000, 0.000, 0.000)
Ge (0.390, 0.390, 0.000)
Ge (0.610, 0.610, 0.000)

Summary:
E_tot (eV/atom): -3.01
Size of the total moment (Bohr magnetons per cell): 0.00
SG: No. 139
Theoretical density (Mg/m³): 5.4
DOS(E_F) (states/eV per atom): 0.412
ΔE_f (raw) (kcal/mol of atoms): 10.1

=====

Entry 6:
First-principles (PBE-GGA) data for ZnSiGe2 after structural relaxation, as listed in Alexandria via LeMat-Bulk.

a b c (Å): 4.636 4.636 4.636
angles (deg): 60.00 60.00 60.00
Element x y z (fractional)
Zn (0.000, 0.000, 0.000)
Si (0.500, 0.500, 0.500)
Ge (0.250, 0.250, 0.250)
Ge (0.750, 0.750, 0.750)

Summary:
E_tot (eV/atom): -3.60
Size of the total moment (Bohr magnetons per cell): 0.00
SG: No. 225
Theoretical density (Mg/m³): 5.6
DOS(E_F) (states/eV per atom): 0.542
ΔE_f (raw) (kcal/mol of atoms): 8.8

=====

Entry 7:
First-principles (PBE-GGA) data for Zn2SiGe2 after structural relaxation, as listed in Alexandria via LeMat-Bulk.

a b c (Å): 6.879 6.879 6.879
angles (deg): 147.77 147.77 46.22
Element x y z (fractional)
Zn (0.095, 0.095, 0.000)
Zn (0.905, 0.905, 0.000)
Si (0.500, 0.500, 0.000)
Ge (0.250, 0.750, 0.500)
Ge (0.750, 0.250, 0.500)

Summary:
E_tot (eV/atom): -3.02
Size of the total moment (Bohr magnetons per cell): 0.00
SG: No. 139
Theoretical density (Mg/m³): 5.5
DOS(E_F) (states/eV per atom): 0.425
ΔE_f (raw) (kcal/mol of atoms): 9.8

=====

Entry 8:
First-principles (PBE-GGA) data for ZnSi3Ge after structural relaxation, as listed in Alexandria via LeMat-Bulk.

a b c (Å): 4.663 4.663 4.663
angles (deg): 90.00 90.00 90.00
Element x y z (fractional)
Zn (0.000, 0.000, 0.000)
Si (0.000, 0.000, 0.500)
Si (0.000, 0.500, 0.000)
Si (0.500, 0.000, 0.000)
Ge (0.500, 0.500, 0.500)

Summary:
E_tot (eV/atom): -3.44
Size of the total moment (Bohr magnetons per cell): 0.00
SG: No. 221
Theoretical density (Mg/m³): 3.6
DOS(E_F) (states/eV per atom): 0.630
ΔE_f (raw) (kcal/mol of atoms): 22.8

=====

Entry 9:
First-principles (PBE-GGA) data for Zr2Si2Ge after structural relaxation, as listed in Alexandria via LeMat-Bulk.

a b c (Å): 7.127 7.127 3.819
angles (deg): 90.00 90.00 90.00
Element x y z (fractional)
Zr (0.177, 0.323, 0.000)
Zr (0.323, 0.823, 0.000)
Zr (0.677, 0.177, 0.000)
Zr (0.823, 0.677, 0.000)
Si (0.119, 0.619, 0.500)
Si (0.381, 0.119, 0.500)
Si (0.619, 0.881, 0.500)
Si (0.881, 0.381, 0.500)
Ge (0.000, 0.000, 0.000)
Ge (0.500, 0.500, 0.000)

Summary:
E_tot (eV/atom): -6.99
Size of the total moment (Bohr magnetons per cell): 0.00
SG: No. 127
Theoretical density (Mg/m³): 5.3
DOS(E_F) (states/eV per atom): 0.322
ΔE_f (raw) (kcal/mol of atoms): -11.1

=====

Entry 10:
First-principles (PBE-GGA) data for ZrSiGe2 after structural relaxation, as listed in Alexandria via LeMat-Bulk.

a b c (Å): 5.889 5.889 5.889
angles (deg): 102.94 102.94 123.51
Element x y z (fractional)
Zr (0.000, 0.000, 0.000)
Zr (0.750, 0.250, 0.500)
Si (0.250, 0.750, 0.500)
Si (0.500, 0.500, 0.000)
Ge (0.154, 0.125, 0.529)
Ge (0.375, 0.846, 0.971)
Ge (0.596, 0.625, 0.471)
Ge (0.875, 0.404, 0.029)

Summary:
E_tot (eV/atom): -5.82
Size of the total moment (Bohr magnetons per cell): 0.00
SG: No. 122
Theoretical density (Mg/m³): 5.9
DOS(E_F) (states/eV per atom): 0.660
ΔE_f (raw) (kcal/mol of atoms): -0.5

=====

Entry 11:
First-principles (PBE-GGA) data for ZrSiGe3 after structural relaxation, as listed in Alexandria via LeMat-Bulk.

a b c (Å): 4.731 4.731 4.731
angles (deg): 90.00 90.00 90.00
Element x y z (fractional)
Zr (0.000, 0.000, 0.000)
Si (0.500, 0.500, 0.500)
Ge (0.000, 0.500, 0.500)
Ge (0.500, 0.000, 0.500)
Ge (0.500, 0.500, 0.000)

Summary:
E_tot (eV/atom): -4.96
Size of the total moment (Bohr magnetons per cell): 0.00
SG: No. 221
Theoretical density (Mg/m³): 5.3
DOS(E_F) (states/eV per atom): 0.938
ΔE_f (raw) (kcal/mol of atoms): 14.0

=====

Entry 12:
First-principles (PBE-GGA) data for Zr2Si2Ge after structural relaxation, as listed in Alexandria via LeMat-Bulk.

a b c (Å): 6.856 6.856 3.811
angles (deg): 90.00 90.00 90.00
Element x y z (fractional)
Zr (0.179, 0.321, 0.000)
Zr (0.321, 0.821, 0.000)
Zr (0.679, 0.179, 0.000)
Zr (0.821, 0.679, 0.000)
Si (0.122, 0.622, 0.500)
Si (0.378, 0.122, 0.500)
Si (0.622, 0.878, 0.500)
Si (0.878, 0.378, 0.500)
Ge (0.000, 0.000, 0.500)
Ge (0.500, 0.500, 0.500)

Summary:
E_tot (eV/atom): -7.02
Size of the total moment (Bohr magnetons per cell): 0.00
SG: No. 127
Theoretical density (Mg/m³): 5.8
DOS(E_F) (states/eV per atom): 0.912
ΔE_f (raw) (kcal/mol of atoms): -11.6